# LiPmEuSb | Alexandria | GGA-PBE | optimized geometry
# Uncorrected formation energy ... -0.50 eV per atom
data_LiPmEuSb
_chemical_formula_sum 'Li4 Pm4 Eu4 Sb4'
_cell_length_a 7.629
_cell_length_b 7.629
_cell_length_c 7.629
_cell_angle_alpha 90.00
_cell_angle_beta 90.00
_cell_angle_gamma 90.00
_space_group_name_H-M_alt 'F -4 3 m'
_space_group_IT_number 216
_space_group_name_Hall 'F -4 2 3'
loop_
_atom_site_label
_atom_site_fract_x
_atom_site_fract_y
_atom_site_fract_z
_atom_site_occupancy
Li1 0.000 0.000 0.000 1
Pm1 0.250 0.250 0.250 1
Eu1 0.250 0.250 0.750 1
Sb1 0.000 0.000 0.500 1

---

# LiPmEuSi | Alexandria | GGA-PBE | optimized geometry
# Uncorrected formation energy ... -0.29 eV per atom
data_LiPmEuSi
_chemical_formula_sum 'Li4 Pm4 Eu4 Si4'
_cell_length_a 7.332
_cell_length_b 7.332
_cell_length_c 7.332
_cell_angle_alpha 90.00
_cell_angle_beta 90.00
_cell_angle_gamma 90.00
_space_group_name_H-M_alt 'F -4 3 m'
_space_group_IT_number 216
_space_group_name_Hall 'F -4 2 3'
loop_
_atom_site_label
_atom_site_fract_x
_atom_site_fract_y
_atom_site_fract_z
_atom_site_occupancy
Li1 0.000 0.000 0.000 1
Pm1 0.250 0.250 0.250 1
Eu1 0.250 0.250 0.750 1
Si1 0.000 0.000 0.500 1

---

# LiPmSmEu | Alexandria | GGA-PBE | optimized geometry
# Energy relative to the elements ... 0.22 eV per atom
data_LiPmSmEu
_chemical_formula_sum 'Li4 Pm4 Sm4 Eu4'
_cell_length_a 8.079
_cell_length_b 8.079
_cell_length_c 8.079
_cell_angle_alpha 90.00
_cell_angle_beta 90.00
_cell_angle_gamma 90.00
_space_group_name_H-M_alt 'F -4 3 m'
_space_group_IT_number 216
_space_group_name_Hall 'F -4 2 3'
loop_
_atom_site_label
_atom_site_fract_x
_atom_site_fract_y
_atom_site_fract_z
_atom_site_occupancy
Li1 0.000 0.000 0.000 1
Pm1 0.000 0.000 0.500 1
Sm1 0.250 0.250 0.250 1
Eu1 0.250 0.250 0.750 1

---

Number 1: electronic total energy -5.769 eV per atom. Number 2: electronic total energy -5.881 eV per atom. Number 3: electronic total energy -5.193 eV per atom.